First-principles (GGA-PBE) data for a geometry-optimized NaTlGaGe structure, as listed in Alexandria.

The calculation puts the total DFT energy (no corrections) at -0.1011 Ha/atom. As for the space group: F-43m (216).

Cell lengths 7.1975, 7.1975, 7.1975 Å; angles 90.00, 90.00, 90.00 degrees
Positions (direct):
Na1 0.0000 0.0000 0.0000
Na2 0.0000 0.5000 0.5000
Na3 0.5000 0.0000 0.5000
Na4 0.5000 0.5000 0.0000
Tl1 0.2500 0.2500 0.7500
Tl2 0.2500 0.7500 0.2500
Tl3 0.7500 0.2500 0.2500
Tl4 0.7500 0.7500 0.7500
Ga1 0.0000 0.0000 0.5000
Ga2 0.0000 0.5000 0.0000
Ga3 0.5000 0.0000 0.0000
Ga4 0.5000 0.5000 0.5000
Ge1 0.2500 0.2500 0.2500
Ge2 0.2500 0.7500 0.7500
Ge3 0.7500 0.2500 0.7500
Ge4 0.7500 0.7500 0.2500

First-principles (GGA-PBE) data for a geometry-optimized Na2YGaGe2 structure, as listed in Alexandria.

The calculation puts the total DFT energy (no corrections) at -0.1458 Ha/atom. As for the space group: Pmc2_1 (26).

Cell lengths 4.2715, 8.8158, 7.2621 Å; angles 90.00, 90.00, 90.00 degrees
Positions (direct):
Na1 0.0000 0.0829 0.0000
Na2 0.0000 0.9171 0.5000
Na3 0.5000 0.1602 0.3170
Na4 0.5000 0.8398 0.8170
Y1 0.5000 0.4466 0.9600
Y2 0.5000 0.5534 0.4600
Ga1 0.0000 0.3238 0.6225
Ga2 0.0000 0.6762 0.1225
Ge1 0.0000 0.3876 0.2451
Ge2 0.0000 0.6124 0.7451
Ge3 0.5000 0.1772 0.7193
Ge4 0.5000 0.8228 0.2193

First-principles (GGA-PBE) data for a geometry-optimized NaZnGa2Ge structure, as listed in Alexandria.

The calculation puts the total DFT energy (no corrections) at -0.1017 Ha/atom. As for the space group: Imm2 (44).

Cell lengths 4.2294, 4.3129, 11.0408 Å; angles 90.00, 90.00, 90.00 degrees
Positions (direct):
Na1 0.0000 0.0000 0.0000
Na2 0.5000 0.5000 0.5000
Zn1 0.0000 0.5000 0.7475
Zn2 0.5000 0.0000 0.2475
Ga1 0.0000 0.0000 0.3870
Ga2 0.0000 0.5000 0.2522
Ga3 0.5000 0.0000 0.7522
Ga4 0.5000 0.5000 0.8870
Ge1 0.0000 0.0000 0.6129
Ge2 0.5000 0.5000 0.1129

First-principles (GGA-PBE) data for a geometry-optimized Na2ZnGa3Ge4 structure, as listed in Alexandria.

The calculation puts the total DFT energy (no corrections) at -0.1182 Ha/atom. As for the space group: P-4m2 (115).

Cell lengths 4.4717, 4.4717, 10.5908 Å; angles 90.00, 90.00, 90.00 degrees
Positions (direct):
Na1 0.0000 0.5000 0.2451
Na2 0.5000 0.0000 0.7549
Zn1 0.5000 0.5000 0.0000
Ga1 0.0000 0.0000 0.0000
Ga2 0.0000 0.5000 0.6334
Ga3 0.5000 0.0000 0.3666
Ge1 0.0000 0.0000 0.5000
Ge2 0.0000 0.5000 0.8687
Ge3 0.5000 0.0000 0.1313
Ge4 0.5000 0.5000 0.5000

First-principles (GGA-PBE) data for a geometry-optimized Na2Zn4GaGe3 structure, as listed in Alexandria.

The calculation puts the total DFT energy (no corrections) at -0.0932 Ha/atom. As for the space group: P-4m2 (115).

Cell lengths 4.1286, 4.1286, 11.3903 Å; angles 90.00, 90.00, 90.00 degrees
Positions (direct):
Na1 0.0000 0.5000 0.2453
Na2 0.5000 0.0000 0.7547
Zn1 0.0000 0.0000 0.0000
Zn2 0.0000 0.5000 0.6454
Zn3 0.5000 0.0000 0.3546
Zn4 0.5000 0.5000 0.0000
Ga1 0.0000 0.0000 0.5000
Ge1 0.0000 0.5000 0.8623
Ge2 0.5000 0.0000 0.1377
Ge3 0.5000 0.5000 0.5000

First-principles (GGA-PBE) data for a geometry-optimized NaZnGaGe2 structure, as listed in Alexandria.

The calculation puts the total DFT energy (no corrections) at -0.1121 Ha/atom. As for the space group: I-4m2 (119).

Cell lengths 4.4228, 4.4228, 10.6078 Å; angles 90.00, 90.00, 90.00 degrees
Positions (direct):
Na1 0.0000 0.0000 0.0000
Na2 0.5000 0.5000 0.5000
Zn1 0.0000 0.5000 0.2500
Zn2 0.5000 0.0000 0.7500
Ga1 0.0000 0.5000 0.7500
Ga2 0.5000 0.0000 0.2500
Ge1 0.0000 0.0000 0.3822
Ge2 0.0000 0.0000 0.6178
Ge3 0.5000 0.5000 0.1178
Ge4 0.5000 0.5000 0.8822

First-principles (GGA-PBE) data for a geometry-optimized NaZrGa2Ge structure, as listed in Alexandria.

The calculation puts the total DFT energy (no corrections) at -0.1364 Ha/atom. As for the space group: P4/mmm (123).

Cell lengths 5.0152, 5.0152, 5.1402 Å; angles 90.00, 90.00, 90.00 degrees
Positions (direct):
Na1 0.0000 0.0000 0.0000
Zr1 0.5000 0.5000 0.0000
Ga1 0.0000 0.5000 0.5000
Ga2 0.5000 0.0000 0.5000
Ge1 0.5000 0.5000 0.5000

First-principles (GGA-PBE) data for a geometry-optimized Nb4Ga2Ge structure, as listed in Alexandria.

The calculation puts the relative energy among the computed polymorphs at 0.00 eV/f.u. As for the space group: I-42d (122).

Cell lengths 6.8177, 6.8177, 6.8177 Å; angles 109.47, 109.47, 109.47 degrees
Positions (direct):
Nb1 0.1227 0.2224 0.7496
Nb2 0.1230 0.7228 0.7504
Nb3 0.2772 0.0276 0.4002
Nb4 0.4728 0.3730 0.2504
Nb5 0.6270 0.8773 0.0998
Nb6 0.6273 0.8770 0.5998
Nb7 0.7776 0.5272 0.9002
Nb8 0.9724 0.3727 0.2496
Ga1 0.2523 0.6250 0.1273
Ga2 0.3750 0.5023 0.6273
Ga3 0.4977 0.1250 0.8727
Ga4 0.8750 0.7477 0.3727
Ge1 0.0000 0.0000 0.0000
Ge2 0.7500 0.2500 0.5000

First-principles (GGA-PBE) data for a geometry-optimized Nb5Ga2Ge structure, as listed in Alexandria.

The calculation puts the relative energy among the computed polymorphs at 0.00 eV/f.u. As for the space group: I4/mcm (140).

Cell lengths 7.6627, 7.6627, 7.6627 Å; angles 127.61, 127.61, 77.25 degrees
Positions (direct):
Nb1 0.0000 0.0000 0.0000
Nb2 0.0100 0.5100 0.8283
Nb3 0.1817 0.0100 0.5000
Nb4 0.3183 0.8183 0.8283
Nb5 0.4900 0.3183 0.5000
Nb6 0.5000 0.5000 0.0000
Nb7 0.5100 0.6817 0.5000
Nb8 0.6817 0.1817 0.1717
Nb9 0.8183 0.9900 0.5000
Nb10 0.9900 0.4900 0.1717
Ga1 0.1325 0.3675 0.5000
Ga2 0.3675 0.8675 0.2350
Ga3 0.6325 0.1325 0.7650
Ga4 0.8675 0.6325 0.5000
Ge1 0.2500 0.2500 0.0000
Ge2 0.7500 0.7500 0.0000

First-principles (GGA-PBE) data for a geometry-optimized NbGaGe2 structure, as listed in Alexandria.

The calculation puts the total DFT energy (no corrections) at -0.2033 Ha/atom. As for the space group: R3m (160).

Cell lengths 3.0915, 3.0915, 26.4843 Å; angles 90.00, 90.00, 120.00 degrees
Positions (direct):
Nb1 0.0000 0.0000 0.0000
Nb2 0.3333 0.6667 0.6667
Nb3 0.6667 0.3333 0.3333
Ga1 0.0000 0.0000 0.8344
Ga2 0.3333 0.6667 0.5011
Ga3 0.6667 0.3333 0.1677
Ge1 0.0000 0.0000 0.4134
Ge2 0.0000 0.0000 0.5869
Ge3 0.3333 0.6667 0.0800
Ge4 0.3333 0.6667 0.2536
Ge5 0.6667 0.3333 0.7467
Ge6 0.6667 0.3333 0.9202

First-principles (GGA-PBE) data for a geometry-optimized Nb6GaGe3 structure, as listed in Alexandria.

The calculation puts the total DFT energy (no corrections) at -0.2897 Ha/atom. As for the space group: Cmc2_1 (36).

Cell lengths 7.8600, 7.8600, 6.5411 Å; angles 90.00, 90.00, 113.60 degrees
Positions (direct):
Nb1 0.0253 0.4543 0.0199
Nb2 0.0464 0.9536 0.5000
Nb3 0.2478 0.3627 0.3344
Nb4 0.2649 0.7351 0.2619
Nb5 0.3627 0.2478 0.8344
Nb6 0.4543 0.0253 0.5199
Nb7 0.5457 0.9747 0.0199
Nb8 0.6373 0.7522 0.3344
Nb9 0.7351 0.2649 0.7619
Nb10 0.7522 0.6373 0.8344
Nb11 0.9536 0.0464 0.0000
Nb12 0.9747 0.5457 0.5199
Ga1 0.1805 0.8195 0.8203
Ga2 0.8195 0.1805 0.3203
Ge1 0.0766 0.2869 0.6801
Ge2 0.2869 0.0766 0.1801
Ge3 0.4243 0.5757 0.0010
Ge4 0.5757 0.4243 0.5010
Ge5 0.7131 0.9234 0.6801
Ge6 0.9234 0.7131 0.1801

First-principles (GGA-PBE) data for a geometry-optimized Nb3Ga2Ge structure, as listed in Alexandria.

The calculation puts the total DFT energy (no corrections) at -0.2527 Ha/atom. As for the space group: C2/m (12).

Cell lengths 6.4407, 6.4407, 6.4284 Å; angles 99.59, 99.59, 119.80 degrees
Positions (direct):
Nb1 0.0787 0.4172 0.7526
Nb2 0.2424 0.2424 0.2456
Nb3 0.4172 0.0787 0.7526
Nb4 0.5828 0.9213 0.2474
Nb5 0.7576 0.7576 0.7544
Nb6 0.9213 0.5828 0.2474
Ga1 0.0000 0.0000 0.5000
Ga2 0.3355 0.6645 0.5000
Ga3 0.5000 0.5000 0.0000
Ga4 0.6645 0.3355 0.5000
Ge1 0.1671 0.8329 0.0000
Ge2 0.8329 0.1671 0.0000

First-principles (GGA-PBE) data for a geometry-optimized Nb8Ga2Ge structure, as listed in Alexandria.

The calculation puts the total DFT energy (no corrections) at -0.3116 Ha/atom. As for the space group: C2/m (12).

Cell lengths 8.2313, 8.2313, 5.1578 Å; angles 95.27, 95.27, 33.85 degrees
Positions (direct):
Nb1 0.0449 0.0449 0.2550
Nb2 0.2290 0.2290 0.3425
Nb3 0.3260 0.3260 0.9131
Nb4 0.4120 0.4120 0.4613
Nb5 0.5880 0.5880 0.5387
Nb6 0.6740 0.6740 0.0869
Nb7 0.7710 0.7710 0.6575
Nb8 0.9551 0.9551 0.7450
Ga1 0.1468 0.1468 0.7967
Ga2 0.8532 0.8532 0.2033
Ge1 0.5000 0.5000 0.0000

First-principles (GGA-PBE) data for a geometry-optimized Nb3GaGe2 structure, as listed in Alexandria.

The calculation puts the total DFT energy (no corrections) at -0.2638 Ha/atom. As for the space group: C2/c (15).

Cell lengths 6.4689, 6.4689, 7.4323 Å; angles 106.67, 106.67, 47.88 degrees
Positions (direct):
Nb1 0.0015 0.9985 0.7500
Nb2 0.3242 0.3249 0.9121
Nb3 0.3249 0.3242 0.4121
Nb4 0.6751 0.6758 0.5879
Nb5 0.6758 0.6751 0.0879
Nb6 0.9985 0.0015 0.2500
Ga1 0.4988 0.5012 0.2500
Ga2 0.5012 0.4988 0.7500
Ge1 0.1628 0.1635 0.5815
Ge2 0.1635 0.1628 0.0815
Ge3 0.8365 0.8372 0.9185
Ge4 0.8372 0.8365 0.4185

First-principles (GGA-PBE) data for a geometry-optimized Nb7GaGe5 structure, as listed in Alexandria.

The calculation puts the total DFT energy (no corrections) at -0.2761 Ha/atom. As for the space group: Imm2 (44).

Cell lengths 7.1436, 7.1436, 7.1436 Å; angles 136.47, 96.41, 99.40 degrees
Positions (direct):
Nb1 0.0000 0.0000 0.0000
Nb2 0.2497 0.6069 0.6428
Nb3 0.2875 0.2875 0.0000
Nb4 0.4075 0.1080 0.2995
Nb5 0.8085 0.1080 0.7005
Nb6 0.8295 0.3295 0.5000
Nb7 0.9641 0.6069 0.3572
Ga1 0.6661 0.6661 0.0000
Ge1 0.0952 0.1002 0.4836
Ge2 0.0952 0.6116 0.9950
Ge3 0.3815 0.8815 0.5000
Ge4 0.6166 0.1002 0.0050
Ge5 0.6166 0.6116 0.5164

First-principles (GGA-PBE) data for a geometry-optimized Nb6GaGe structure, as listed in Alexandria.

The calculation puts the total DFT energy (no corrections) at -0.3215 Ha/atom. As for the space group: Pm-3 (200).

Cell lengths 5.1906, 5.1906, 5.1906 Å; angles 90.00, 90.00, 90.00 degrees
Positions (direct):
Nb1 0.0000 0.2516 0.5000
Nb2 0.0000 0.7484 0.5000
Nb3 0.2516 0.5000 0.0000
Nb4 0.5000 0.0000 0.2516
Nb5 0.5000 0.0000 0.7484
Nb6 0.7484 0.5000 0.0000
Ga1 0.0000 0.0000 0.0000
Ge1 0.5000 0.5000 0.5000

First-principles (GGA-PBE) data for a geometry-optimized Nb3Ga4Ge structure, as listed in Alexandria.

The calculation puts the total DFT energy (no corrections) at -0.2202 Ha/atom. As for the space group: Pmmn (59).

Cell lengths 4.6806, 8.3615, 7.3155 Å; angles 90.00, 90.00, 90.00 degrees
Positions (direct):
Nb1 0.2500 0.0542 0.1077
Nb2 0.2500 0.2500 0.8064
Nb3 0.2500 0.4458 0.1077
Nb4 0.7500 0.5542 0.8923
Nb5 0.7500 0.7500 0.1936
Nb6 0.7500 0.9458 0.8923
Ga1 0.2500 0.5540 0.6845
Ga2 0.2500 0.7500 0.3725
Ga3 0.2500 0.7500 0.9820
Ga4 0.2500 0.9460 0.6845
Ga5 0.7500 0.0540 0.3155
Ga6 0.7500 0.2500 0.0180
Ga7 0.7500 0.2500 0.6275
Ga8 0.7500 0.4460 0.3155
Ge1 0.2500 0.2500 0.4179
Ge2 0.7500 0.7500 0.5821

First-principles (GGA-PBE) data for a geometry-optimized Nb4Ga2Ge structure, as listed in Alexandria.

The calculation puts the relative energy among the computed polymorphs at 7.35 eV/f.u. As for the space group: I4/mmm (139).

Cell lengths 4.6116, 4.6116, 13.9657 Å; angles 90.00, 90.00, 90.00 degrees
Positions (direct):
Nb1 0.0000 0.0000 0.1772
Nb2 0.0000 0.0000 0.8228
Nb3 0.0000 0.5000 0.0000
Nb4 0.0000 0.5000 0.5000
Nb5 0.5000 0.0000 0.0000
Nb6 0.5000 0.0000 0.5000
Nb7 0.5000 0.5000 0.3228
Nb8 0.5000 0.5000 0.6772
Ga1 0.0000 0.0000 0.3688
Ga2 0.0000 0.0000 0.6312
Ga3 0.5000 0.5000 0.1312
Ga4 0.5000 0.5000 0.8688
Ge1 0.0000 0.0000 0.0000
Ge2 0.5000 0.5000 0.5000

First-principles (GGA-PBE) data for a geometry-optimized Nb5Ga2Ge structure, as listed in Alexandria.

The calculation puts the relative energy among the computed polymorphs at 1.93 eV/f.u. As for the space group: C2/m (12).

Cell lengths 5.8670, 9.6678, 5.6473 Å; angles 90.00, 121.14, 90.00 degrees
Positions (direct):
Nb1 0.0000 0.0000 0.0000
Nb2 0.0000 0.0000 0.5000
Nb3 0.0000 0.5000 0.0000
Nb4 0.2500 0.2500 0.5000
Nb5 0.2500 0.7500 0.5000
Nb6 0.5000 0.0000 0.0000
Nb7 0.5000 0.5000 0.0000
Nb8 0.5000 0.5000 0.5000
Nb9 0.7500 0.2500 0.5000
Nb10 0.7500 0.7500 0.5000
Ga1 0.2500 0.2500 0.0000
Ga2 0.2500 0.7500 0.0000
Ga3 0.7500 0.2500 0.0000
Ga4 0.7500 0.7500 0.0000
Ge1 0.0000 0.5000 0.5000
Ge2 0.5000 0.0000 0.5000

First-principles (GGA-PBE) data for a geometry-optimized NbGaGe3 structure, as listed in Alexandria.

The calculation puts the relative energy among the computed polymorphs at 0.00 eV/f.u. As for the space group: Pm-3m (221).

Cell lengths 5.0407, 5.0407, 5.0407 Å; angles 90.00, 90.00, 90.00 degrees
Positions (direct):
Nb1 0.0000 0.0000 0.0000
Ga1 0.5000 0.5000 0.5000
Ge1 0.0000 0.0000 0.5000
Ge2 0.0000 0.5000 0.0000
Ge3 0.5000 0.0000 0.0000

First-principles (GGA-PBE) data for a geometry-optimized NbGa3Ge structure, as listed in Alexandria.

The calculation puts the relative energy among the computed polymorphs at 1.83 eV/f.u. As for the space group: Pm-3m (221).

Cell lengths 4.7798, 4.7798, 4.7798 Å; angles 90.00, 90.00, 90.00 degrees
Positions (direct):
Nb1 0.0000 0.0000 0.0000
Ga1 0.0000 0.5000 0.5000
Ga2 0.5000 0.0000 0.5000
Ga3 0.5000 0.5000 0.0000
Ge1 0.5000 0.5000 0.5000

First-principles (GGA-PBE) data for a geometry-optimized Nb2GaGe2 structure, as listed in Alexandria.

The calculation puts the relative energy among the computed polymorphs at 0.70 eV/f.u. As for the space group: P4/mbm (127).

Cell lengths 6.8962, 6.8962, 3.5851 Å; angles 90.00, 90.00, 90.00 degrees
Positions (direct):
Nb1 0.1659 0.3341 0.0000
Nb2 0.3341 0.8341 0.0000
Nb3 0.6659 0.1659 0.0000
Nb4 0.8341 0.6659 0.0000
Ga1 0.0000 0.0000 0.5000
Ga2 0.5000 0.5000 0.5000
Ge1 0.1336 0.6336 0.5000
Ge2 0.3664 0.1336 0.5000
Ge3 0.6336 0.8664 0.5000
Ge4 0.8664 0.3664 0.5000

First-principles (GGA-PBE) data for a geometry-optimized Nb2Ga3Ge structure, as listed in Alexandria.

The calculation puts the total DFT energy (no corrections) at -0.2173 Ha/atom. As for the space group: C2/m (12).

Cell lengths 6.3259, 6.3259, 9.6362 Å; angles 102.52, 102.52, 33.78 degrees
Positions (direct):
Nb1 0.0332 0.0332 0.3488
Nb2 0.2656 0.2656 0.6320
Nb3 0.7344 0.7344 0.3680
Nb4 0.9668 0.9668 0.6512
Ga1 0.1638 0.1638 0.8745
Ga2 0.1772 0.1772 0.1479
Ga3 0.4878 0.4878 0.8677
Ga4 0.5122 0.5122 0.1323
Ga5 0.8228 0.8228 0.8521
Ga6 0.8362 0.8362 0.1255
Ge1 0.3940 0.3940 0.4293
Ge2 0.6060 0.6060 0.5707